TcAs4: relaxed, PBE.

Results
Symmetry = Im-3m
Calculated formation energy = 0.426 eV/atom
Size of the total moment = 0.20 μB/atom
N(E_F) = 0.805 states/eV per atom
Polymorph energy (0 for the lowest one) = 0.183 eV per atom
Mass density = 6.33 g/cm³

Cell lengths 5.138, 5.138, 5.138 Å; angles 109.47, 109.47, 109.47 degrees
Element x y z (fractional)
Tc  0.000  0.000  0.000
As  0.000  0.000  0.500
As  0.000  0.500  0.000
As  0.500  0.000  0.000
As  0.500  0.500  0.500

=====

ScTiH: relaxed, PBE.

Results
Symmetry = Pnma
Size of the total moment = 0.00 μB/atom
N(E_F) = 1.179 states/eV per atom
Polymorph energy (0 for the lowest one) = 0.153 eV per atom
Mass density = 3.72 g/cm³

Cell lengths 5.001, 2.897, 11.550 Å; angles 90.00, 90.00, 90.00 degrees
Element x y z (fractional)
Sc  0.249  0.250  0.056
Sc  0.251  0.750  0.556
Sc  0.749  0.250  0.444
Sc  0.751  0.750  0.944
Ti  0.228  0.750  0.810
Ti  0.272  0.250  0.310
Ti  0.728  0.750  0.690
Ti  0.772  0.250  0.190
H  0.077  0.750  0.193
H  0.423  0.250  0.693
H  0.577  0.750  0.307
H  0.923  0.250  0.807

=====

CaGe2RuRh: relaxed, PBE.

Results
Symmetry = I-4m2
Calculated formation energy = -0.681 eV/atom
Size of the total moment = 0.00 μB/atom
N(E_F) = 0.423 states/eV per atom
Mass density = 7.04 g/cm³

Cell lengths 5.923, 5.923, 5.923 Å; angles 138.06, 138.06, 60.82 degrees
Element x y z (fractional)
Ca  0.000  0.000  0.000
Ge  0.370  0.370  0.000
Ge  0.630  0.630  0.000
Ru  0.750  0.250  0.500
Rh  0.250  0.750  0.500

=====

PrGd3Ir: relaxed, PBE.

Results
Symmetry = Pm-3m
Calculated formation energy = -0.282 eV/atom
Size of the total moment = 4.50 μB/atom
N(E_F) = 1.310 states/eV per atom
Mass density = 8.02 g/cm³

Cell lengths 5.502, 5.502, 5.502 Å; angles 90.00, 90.00, 90.00 degrees
Element x y z (fractional)
Pr  0.000  0.000  0.000
Gd  0.000  0.500  0.500
Gd  0.500  0.000  0.500
Gd  0.500  0.500  0.000
Ir  0.500  0.500  0.500

=====

- Which value of N(E_F) does entry 4 give?
  1.310 states/eV per atom